A.
PmSn2Pd4 | PBE | relaxed

Lattice parameters (Å, degrees): 4.274 8.073 8.073 90.00 90.00 90.00
Fractional positions:
Sn: 0.000 0.217 0.783
Sn: 0.500 0.717 0.717
Sn: 0.000 0.783 0.217
Sn: 0.500 0.283 0.283
Pd: 0.000 0.348 0.092
Pd: 0.500 0.408 0.848
Pd: 0.500 0.152 0.592
Pd: 0.000 0.908 0.652
Pd: 0.500 0.592 0.152
Pd: 0.500 0.848 0.408
Pd: 0.000 0.092 0.348
Pd: 0.000 0.652 0.908
Pm: 0.000 0.500 0.500
Pm: 0.500 0.000 0.000

## Properties
magnetization	0.0	μB/cell

=====

B.
PmSn2Pd4 | PBE | relaxed

Lattice parameters (Å, degrees): 4.546 4.546 8.556 74.59 74.59 60.00
Fractional positions:
Pd: 0.869 0.869 0.393
Pd: 0.131 0.131 0.607
Pd: 0.592 0.592 0.225
Pd: 0.408 0.408 0.775
Sn: 0.759 0.759 0.723
Sn: 0.241 0.241 0.277
Pm: 0.000 0.000 0.000

## Properties
magnetization	0.0	μB/cell

=====

In terms of stability, A leads; the second structure lies 34 meV/atom higher.

=====

A.
Pm3Sn3Pd2 | PBE | relaxed

Lattice parameters (Å, degrees): 4.630 6.045 15.507 90.00 90.00 112.52
Fractional positions:
Pm: 0.084 0.167 0.610
Pm: 0.357 0.713 0.750
Pm: 0.084 0.167 0.890
Pm: 0.643 0.287 0.250
Pm: 0.916 0.833 0.390
Pm: 0.916 0.833 0.110
Pd: 0.794 0.589 0.895
Pd: 0.794 0.589 0.605
Pd: 0.206 0.411 0.395
Pd: 0.206 0.411 0.105
Sn: 0.351 0.701 0.250
Sn: 0.623 0.247 0.037
Sn: 0.377 0.753 0.537
Sn: 0.623 0.247 0.463
Sn: 0.649 0.299 0.750
Sn: 0.377 0.753 0.963

## Properties
magnetization	0.0	μB/cell

=====

B.
Pm3Sn3Pd2 | PBE | relaxed

Lattice parameters (Å, degrees): 6.063 8.524 15.611 90.00 90.00 90.00
Fractional positions:
Pm: 0.132 0.174 0.750
Pm: 0.626 0.033 0.610
Pm: 0.632 0.326 0.250
Pm: 0.368 0.674 0.750
Pm: 0.874 0.533 0.890
Pm: 0.374 0.967 0.390
Pm: 0.374 0.967 0.110
Pm: 0.626 0.033 0.890
Pm: 0.126 0.467 0.390
Pm: 0.874 0.533 0.610
Pm: 0.126 0.467 0.110
Pm: 0.868 0.826 0.250
Pd: 0.624 0.590 0.390
Pd: 0.376 0.410 0.890
Pd: 0.124 0.910 0.610
Pd: 0.124 0.910 0.890
Pd: 0.376 0.410 0.610
Pd: 0.876 0.090 0.110
Pd: 0.876 0.090 0.390
Pd: 0.624 0.590 0.110
Sn: 0.106 0.196 0.962
Sn: 0.894 0.804 0.038
Sn: 0.606 0.304 0.038
Sn: 0.606 0.304 0.462
Sn: 0.123 0.183 0.250
Sn: 0.377 0.683 0.250
Sn: 0.394 0.696 0.962
Sn: 0.106 0.196 0.538
Sn: 0.877 0.817 0.750
Sn: 0.394 0.696 0.538
Sn: 0.623 0.317 0.750
Sn: 0.894 0.804 0.462

## Properties
magnetization	0.0	μB/cell

=====

In terms of stability, A leads; the second structure lies 29 meV/atom higher.

=====

A.
SrPm2Pd | PBE | relaxed

Lattice parameters (Å, degrees): 3.683 3.683 9.822 90.00 90.00 90.00
Fractional positions:
Sr: 0.500 0.500 0.500
Pm: 0.000 0.000 0.830
Pm: 0.000 0.000 0.170
Pd: 0.500 0.500 0.000

## Properties
magnetization	0.0	μB/cell

=====

B.
SrPm2Pd | PBE | relaxed

Lattice parameters (Å, degrees): 4.206 4.206 10.146 78.04 78.04 60.00
Fractional positions:
Pm: 0.281 0.281 0.158
Pm: 0.719 0.719 0.842
Sr: 0.500 0.500 0.500
Pd: 0.000 0.000 0.000

## Properties
magnetization	0.0	μB/cell

=====

In terms of stability, A leads; the second structure lies 15 meV/atom higher.

=====

A.
TbPmPd | PBE | relaxed

Lattice parameters (Å, degrees): 3.601 3.601 6.706 105.57 105.57 90.00
Fractional positions:
Pm: 0.308 0.308 0.616
Pd: 0.659 0.659 0.318
Tb: 0.033 0.033 0.066

## Properties
magnetization	0.0	μB/cell

=====

B.
TbPmPd | PBE | relaxed

Lattice parameters (Å, degrees): 3.854 8.261 15.183 90.00 90.00 90.00
Fractional positions:
Pd: 0.500 0.070 0.405
Pd: 0.500 0.070 0.095
Pd: 0.000 0.506 0.750
Pd: 0.500 0.930 0.595
Pd: 0.500 0.930 0.905
Pd: 0.000 0.494 0.250
Tb: 0.500 0.243 0.750
Tb: 0.500 0.419 0.390
Tb: 0.500 0.581 0.890
Tb: 0.500 0.419 0.110
Tb: 0.500 0.581 0.610
Tb: 0.500 0.757 0.250
Pm: 0.000 0.199 0.556
Pm: 0.000 0.876 0.750
Pm: 0.000 0.199 0.944
Pm: 0.000 0.801 0.444
Pm: 0.000 0.801 0.056
Pm: 0.000 0.124 0.250

## Properties
magnetization	0.0	μB/cell

=====

C.
TbPmPd | PBE | relaxed

Lattice parameters (Å, degrees): 3.906 5.043 9.054 90.01 115.52 90.00
Fractional positions:
Pm: 0.607 0.750 0.357
Pm: 0.393 0.250 0.643
Tb: 0.288 0.250 0.038
Tb: 0.712 0.750 0.962
Pd: 0.040 0.250 0.290
Pd: 0.960 0.750 0.710

## Properties
magnetization	0.0	μB/cell

=====

In terms of stability, B leads; the second structure lies 53 meV/atom higher.

=====

A.
TbPmPd | PBE | relaxed

Lattice parameters (Å, degrees): 3.927 4.809 4.809 120.00 90.00 90.00
Fractional positions:
Tb: 0.588 0.667 0.333
Pm: 0.047 0.000 0.000
Pd: 0.365 0.333 0.667

## Properties
magnetization	0.0	μB/cell

=====

B.
TbPmPd | PBE | relaxed

Lattice parameters (Å, degrees): 4.961 4.961 4.961 60.00 60.00 60.00
Fractional positions:
Pm: 0.000 0.000 0.000
Tb: 0.500 0.500 0.500
Pd: 0.250 0.250 0.250

## Properties
magnetization	0.0	μB/cell

=====

In terms of stability, B leads; the second structure lies 41 meV/atom higher.

=====

A.
Tb4PmPd2 | PBE | relaxed

Lattice parameters (Å, degrees): 3.978 3.978 15.334 82.55 82.55 60.00
Fractional positions:
Tb: 0.302 0.302 0.094
Tb: 0.896 0.896 0.311
Tb: 0.698 0.698 0.906
Tb: 0.104 0.104 0.689
Pd: 0.401 0.401 0.798
Pd: 0.599 0.599 0.202
Pm: 0.500 0.500 0.500

## Properties
magnetization	0.0	μB/cell

=====

B.
Tb4PmPd2 | PBE | relaxed

Lattice parameters (Å, degrees): 6.484 7.821 8.184 112.58 90.00 90.00
Fractional positions:
Tb: 0.994 0.405 0.768
Tb: 0.006 0.595 0.232
Tb: 0.750 0.755 0.650
Tb: 0.250 0.978 0.610
Tb: 0.494 0.595 0.232
Tb: 0.750 0.022 0.390
Tb: 0.250 0.245 0.350
Tb: 0.506 0.405 0.768
Pd: 0.750 0.384 0.419
Pd: 0.750 0.749 0.005
Pd: 0.250 0.616 0.581
Pd: 0.250 0.251 0.995
Pm: 0.750 0.150 0.024
Pm: 0.250 0.850 0.976

## Properties
magnetization	0.0	μB/cell

=====

In terms of stability, B leads; the second structure lies 57 meV/atom higher.

=====

A.
TbPm3Pd | PBE | relaxed

Lattice parameters (Å, degrees): 3.796 6.504 12.824 86.52 81.49 73.04
Fractional positions:
Pm: 0.758 0.728 0.756
Pm: 0.104 0.169 0.623
Pm: 0.457 0.933 0.152
Pm: 0.428 0.627 0.518
Pm: 0.990 0.101 0.919
Pm: 0.785 0.043 0.386
Tb: 0.108 0.502 0.281
Tb: 0.224 0.558 0.995
Pd: 0.443 0.336 0.779
Pd: 0.763 0.341 0.133

## Properties
magnetization	0.0	μB/cell

=====

B.
TbPm3Pd | PBE | relaxed

Lattice parameters (Å, degrees): 7.339 7.339 7.639 105.10 114.13 107.66
Fractional positions:
Pm: 0.228 0.408 0.242
Pm: 0.166 0.986 0.758
Pm: 0.834 0.014 0.242
Pm: 0.726 0.459 0.186
Pm: 0.772 0.592 0.758
Pm: 0.274 0.541 0.814
Pd: 0.361 0.230 0.591
Pd: 0.639 0.770 0.409
Tb: 0.697 0.069 0.766
Tb: 0.303 0.931 0.234

## Properties
magnetization	0.0	μB/cell

=====

In terms of stability, A leads; the second structure lies 97 meV/atom higher.

=====

A.
TbPmPd3 | PBE | relaxed

Lattice parameters (Å, degrees): 5.559 8.559 10.799 123.63 90.00 90.00
Fractional positions:
Pd: 0.750 0.914 0.029
Pd: 0.250 0.086 0.971
Pd: 0.500 0.250 0.250
Pd: 0.000 0.750 0.750
Pd: 0.250 0.586 0.471
Pd: 0.500 0.750 0.750
Pd: 0.755 0.607 0.132
Pd: 0.750 0.414 0.529
Pd: 0.000 0.250 0.250
Pd: 0.245 0.393 0.868
Pd: 0.745 0.107 0.632
Pd: 0.255 0.893 0.368
Pm: 0.250 0.824 0.059
Pm: 0.250 0.324 0.559
Pm: 0.750 0.676 0.441
Pm: 0.750 0.176 0.941
Tb: 0.752 0.009 0.331
Tb: 0.252 0.491 0.169
Tb: 0.748 0.509 0.831
Tb: 0.248 0.991 0.669

## Properties
magnetization	0.0	μB/cell

=====

B.
TbPmPd3 | PBE | relaxed

Lattice parameters (Å, degrees): 6.896 7.967 7.873 90.00 90.00 90.00
Fractional positions:
Pd: 0.615 0.146 0.750
Pd: 0.385 0.854 0.250
Pd: 0.385 0.854 0.750
Pd: 0.615 0.146 0.250
Pd: 0.500 0.500 0.240
Pd: 0.115 0.354 0.750
Pd: 0.000 0.000 0.260
Pd: 0.500 0.500 0.760
Pd: 0.000 0.000 0.740
Pd: 0.885 0.646 0.250
Pd: 0.115 0.354 0.250
Pd: 0.885 0.646 0.750
Tb: 0.284 0.133 0.500
Tb: 0.216 0.633 0.000
Tb: 0.716 0.867 0.500
Tb: 0.784 0.367 0.000
Pm: 0.219 0.635 0.500
Pm: 0.281 0.135 0.000
Pm: 0.719 0.865 0.000
Pm: 0.781 0.365 0.500

## Properties
magnetization	0.0	μB/cell

=====

In terms of stability, B leads; the second structure lies 16 meV/atom higher.